Tb2ErMg: optimized geometry, PBE.

Unit cell a=3.582 b=3.582 c=9.215 alpha=90.00 beta=90.00 gamma=90.00
Element x y z (fractional)
Tb  0.000  0.000  0.237
Tb  0.000  0.000  0.763
Er  0.500  0.500  0.500
Mg  0.500  0.500  0.000

Calculated values
- formation enthalpy at 0 K (kcal/mol of atoms) = -0.6
- DFT total energy (eV for the cell shown) = -15.5
- distance to the lowest polymorph of the same formula (meV per atom) = 0.0